No. 1
Material: Si2Os
Method: DFT, GGA-PBE
State: optimized geometry

## Properties
**M_tot**: 0.0 μB per formula unit
**Space group**: Cmcm (63)
**Uncorrected formation energy**: -0.025 eV/atom

a b c (Å): 6.246 6.246 4.427
angles (deg): 90.00 90.00 152.43
Fractional coordinates of all 6 atoms:
Si1 0.938 0.062 0.750
Si2 0.277 0.723 0.750
Si3 0.723 0.277 0.250
Si4 0.062 0.938 0.250
Os1 0.611 0.389 0.750
Os2 0.389 0.611 0.250

---

No. 2
Material: ScAu2Cl
Method: DFT, GGA-PBE
State: optimized geometry

## Properties
**M_tot**: 0.0 μB per formula unit
**Space group**: C2/m (12)
**Energy above the most stable polymorph in this dataset**: 0.2853 eV/atom
**Uncorrected formation energy**: -0.546 eV/atom

a b c (Å): 6.305 6.305 3.231
angles (deg): 75.42 75.42 129.08
Fractional coordinates of all 4 atoms:
Au1 0.000 0.000 0.000
Au2 0.500 0.500 0.000
Cl1 0.500 0.000 0.500
Sc1 0.000 0.500 0.500